1.
A crystal of K2Si3SnO9 relaxed with PBEsol, computed with meta-GGA SCAN.

a b c (Å): 6.8748 6.8748 10.0937
angles (deg): 90.00 90.00 120.00
Space group P6_3/m (No. 176)
Unique sites:
K (0.3333, 0.6667, 0.0548) (multiplicity 4)
Si (0.1250, 0.7436, 0.7500) (multiplicity 6)
Sn (0.0000, 0.0000, 0.0000) (multiplicity 2)
O (0.0127, 0.7592, 0.6130) (multiplicity 12)
O (0.0844, 0.4839, 0.7500) (multiplicity 6)

Excess energy over the best structure of this formula in the dataset   3 meV/atom
Energy relative to the elements, uncorrected   -2.69 eV per atom



2.
A crystal of Sc2AsN relaxed with PBEsol, computed with meta-GGA SCAN.

a b c (Å): 6.233 6.233 6.233
angles (deg): 90.00 90.00 90.00
Space group Fm-3m (No. 225)
Unique sites:
Sc (0.250, 0.250, 0.250) (multiplicity 8)
As (0.000, 0.000, 0.000) (multiplicity 4)
N (0.000, 0.000, 0.500) (multiplicity 4)

Excess energy over the best structure of this formula in the dataset   925 meV/atom
Energy relative to the elements, uncorrected   -0.60 eV per atom



3.
A crystal of ZrZn7 relaxed with PBEsol, computed with meta-GGA SCAN.

a b c (Å): 5.674 8.738 5.781
angles (deg): 90.00 118.50 90.00
Space group C2/m (No. 12)
Unique sites:
Zr (0.000, 0.000, 0.000) (multiplicity 2)
Zn (0.000, 0.000, 0.500) (multiplicity 2)
Zn (0.000, 0.500, 0.000) (multiplicity 2)
Zn (0.000, 0.500, 0.500) (multiplicity 2)
Zn (0.136, 0.249, 0.755) (multiplicity 8)

Formation energy   -96 meV/atom
Excess energy over the best structure of this formula in the dataset   47 meV/atom



4.
A crystal of BeRe3Ag relaxed with PBEsol, computed with meta-GGA SCAN.

a b c (Å): 4.660 4.660 4.660
angles (deg): 90.00 90.00 90.00
Space group Pm-3m (No. 221)
Unique sites:
Be (0.000, 0.000, 0.000) (multiplicity 1)
Re (0.000, 0.500, 0.500) (multiplicity 3)
Ag (0.500, 0.500, 0.500) (multiplicity 1)

Formation energy   3592 meV/atom



5.
A crystal of As2PbW relaxed with PBEsol, computed with meta-GGA SCAN.

a b c (Å): 3.2062 3.2062 27.6073
angles (deg): 90.00 90.00 120.00
Space group R-3m (No. 166, hexagonal axes)
Unique sites:
As (0.0000, 0.0000, 0.2312) (multiplicity 6)
Pb (0.0000, 0.0000, 0.0000) (multiplicity 3)
W (0.0000, 0.0000, 0.5000) (multiplicity 3)

Formation energy   121 meV/atom



6.
A crystal of HoGe2Rh2 relaxed with PBEsol, computed with meta-GGA SCAN.

a b c (Å): 4.064 4.064 10.211
angles (deg): 90.00 90.00 90.00
Space group I4/mmm (No. 139)
Unique sites:
Ho (0.000, 0.000, 0.000) (multiplicity 2)
Ge (0.000, 0.000, 0.380) (multiplicity 4)
Rh (0.000, 0.500, 0.250) (multiplicity 4)

Formation energy   -1030 meV/atom



7.
A crystal of LiCu2Pt relaxed with PBEsol, computed with meta-GGA SCAN.

a b c (Å): 4.195 4.195 2.862
angles (deg): 90.00 90.00 90.00
Space group P4/mmm (No. 123)
Unique sites:
Li (0.000, 0.000, 0.000) (multiplicity 1)
Cu (0.000, 0.500, 0.500) (multiplicity 2)
Pt (0.500, 0.500, 0.000) (multiplicity 1)

Formation energy   -293 meV/atom
Excess energy over the best structure of this formula in the dataset   9 meV/atom



8.
A crystal of Cd2HgTe relaxed with PBEsol, computed with meta-GGA SCAN.

a b c (Å): 4.148 4.148 6.060
angles (deg): 90.00 90.00 90.00
Space group P4/mmm (No. 123)
Unique sites:
Cd (0.000, 0.000, 0.000) (multiplicity 1)
Cd (0.500, 0.500, 0.500) (multiplicity 1)
Hg (0.000, 0.000, 0.500) (multiplicity 1)
Te (0.500, 0.500, 0.000) (multiplicity 1)

Excess energy over the best structure of this formula in the dataset   0 meV/atom
Energy relative to the elements, uncorrected   -0.09 eV per atom



Number 1: density of states at the Fermi level 0.00 states/eV/f.u.. Number 2: density of states at the Fermi level 1.43 states/eV/f.u.. Number 3: density of states at the Fermi level 3.30 states/eV/f.u.. Number 4: density of states at the Fermi level 7.65 states/eV/f.u.. Number 5: density of states at the Fermi level 3.24 states/eV/f.u.. Number 6: density of states at the Fermi level 1.95 states/eV/f.u.. Number 7: density of states at the Fermi level 0.87 states/eV/f.u.. Number 8: density of states at the Fermi level 1.28 states/eV/f.u..